(1)
# Mn2CoIr

Crystalline Mn2CoIr at its relaxed geometry (PBE, Alexandria).

```
Mn2CoIr
1.0
4.035 0.000 0.000
0.000 2.587 -0.001
0.000 0.002 4.473
Mn Co Ir
2 1 1
Direct
0.500 0.125 0.292 Mn
0.000 0.125 0.977 Mn
0.000 0.625 0.443 Co
0.500 0.625 0.788 Ir
```

Formation energy from the elements: -75.8 meV per atom
Total magnetization: 0.0 Bohr magnetons per cell
DOS at the Fermi energy: 3.7 states/eV/cell

(2)
# CdPtSe2

Crystalline CdPtSe2 at its relaxed geometry (PBE, Alexandria).

```
CdPtSe2
1.0
-6.232 -1.780 0.133
-4.249 -4.888 -0.283
-4.379 -3.406 4.566
Pt Se Cd
1 2 1
Direct
0.291 0.291 0.431 Pt
0.831 0.831 0.155 Se
0.798 0.798 0.656 Se
0.579 0.579 0.258 Cd
```

Formation energy from raw total energies: -0.332 eV per atom
Total magnetization: 0.0 Bohr magnetons per cell

(3)
# Pm2Y3In4

Crystalline Pm2Y3In4 at its relaxed geometry (PBE, Alexandria).

```
Pm2Y3In4
1.0
-2.782 2.913 3.488
0.776 -0.644 5.227
7.407 7.326 -0.212
Pm In Y
2 4 3
Direct
0.667 0.666 0.220 Pm
0.333 0.334 0.780 Pm
0.666 0.667 0.898 In
0.000 0.000 0.650 In
0.334 0.333 0.102 In
0.000 0.000 0.350 In
0.333 0.333 0.425 Y
0.667 0.667 0.575 Y
0.000 0.000 0.000 Y
```

Formation energy from the elements: -427.5 meV per atom
Total magnetization: 0.0 Bohr magnetons per cell
DOS at the Fermi energy: 9.1 states/eV/cell
Energy above the lowest structure with this stoichiometry: 0 meV per atom

(4)
# SrEuNi

Crystalline SrEuNi at its relaxed geometry (PBE, Alexandria).

```
SrEuNi
1.0
6.832 0.000 0.000
0.000 4.182 0.000
0.000 -2.091 3.622
Eu Ni Sr
1 1 1
Direct
0.230 0.333 0.667 Eu
0.012 0.000 0.000 Ni
0.758 0.667 0.333 Sr
```

Formation energy from the elements: 18.0 meV per atom
Total magnetization: 7.1 Bohr magnetons per cell
DOS at the Fermi energy: 13.2 states/eV/cell
Energy above the lowest structure with this stoichiometry: 0 meV per atom

(5)
# PaGaOs2

Crystalline PaGaOs2 at its relaxed geometry (PBE, Alexandria).

```
PaGaOs2
1.0
-1.837 -1.710 2.722
-2.354 -2.139 -2.933
2.927 -3.185 -0.025
Pa Ga Os
1 1 2
Direct
0.500 0.000 0.000 Pa
0.500 0.500 0.500 Ga
0.000 0.500 0.000 Os
0.000 0.000 0.500 Os
```

Formation energy from the elements: -278.0 meV per atom
Total magnetization: 0.0 Bohr magnetons per cell
DOS at the Fermi energy: 0.9 states/eV/cell

(6)
# Na2Zr2TiSe6

Crystalline Na2Zr2TiSe6 at its relaxed geometry (PBE, Alexandria).

```
Na2Zr2TiSe6
1.0
-4.216 -4.924 -0.683
5.672 -0.107 -3.211
2.607 -1.710 6.939
Zr Se Na Ti
2 6 2 1
Direct
0.333 0.667 0.500 Zr
0.667 0.333 0.500 Zr
0.399 0.078 0.720 Se
0.250 0.250 0.282 Se
0.601 0.922 0.280 Se
0.922 0.601 0.280 Se
0.750 0.750 0.718 Se
0.078 0.399 0.720 Se
0.830 0.170 0.000 Na
0.170 0.830 0.000 Na
0.000 0.000 0.500 Ti
```

Formation energy from raw total energies: -1.291 eV per atom
Total magnetization: 0.9 Bohr magnetons per cell
DOS at the Fermi energy: 5.9 states/eV/cell

(7)
# In6GaSn

Crystalline In6GaSn at its relaxed geometry (PBE, Alexandria).

```
In6GaSn
1.0
-4.300 -1.264 -0.068
-1.612 -3.730 -4.646
-0.073 -8.838 2.521
Ga In Sn
1 6 1
Direct
0.000 0.000 0.000 Ga
0.253 0.381 0.123 In
0.747 0.619 0.877 In
0.752 0.128 0.373 In
0.248 0.872 0.627 In
0.500 0.234 0.764 In
0.500 0.766 0.236 In
0.000 0.500 0.500 Sn
```

Formation energy from the elements: 35.1 meV per atom
Total magnetization: 0.0 Bohr magnetons per cell
DOS at the Fermi energy: 3.0 states/eV/cell

(8)
# DySn2Rh4

Crystalline DySn2Rh4 at its relaxed geometry (PBE, Alexandria).

```
DySn2Rh4
1.0
-3.246 -0.491 -8.419
-4.342 -2.976 1.848
-0.428 5.747 -0.170
Dy Sn Rh
2 4 8
Direct
0.000 0.000 0.000 Dy
0.500 0.500 0.000 Dy
0.000 0.681 0.362 Sn
0.500 0.181 0.362 Sn
0.500 0.819 0.638 Sn
0.000 0.319 0.638 Sn
0.294 0.000 0.000 Rh
0.206 0.500 0.000 Rh
0.750 0.000 0.500 Rh
0.250 0.500 0.500 Rh
0.706 0.000 0.000 Rh
0.750 0.500 0.500 Rh
0.250 0.000 0.500 Rh
0.794 0.500 0.000 Rh
```

Formation energy from the elements: -468.0 meV per atom
Total magnetization: 0.0 Bohr magnetons per cell
DOS at the Fermi energy: 10.8 states/eV/cell

(9)
# AcPm2Au

Crystalline AcPm2Au at its relaxed geometry (PBE, Alexandria).

```
AcPm2Au
1.0
-1.268 3.172 -3.846
1.276 -6.246 -2.137
-7.876 -1.948 0.989
Ac Pm Au
2 4 2
Direct
0.950 0.900 0.250 Ac
0.050 0.100 0.750 Ac
0.353 0.707 0.964 Pm
0.647 0.293 0.464 Pm
0.647 0.293 0.036 Pm
0.353 0.707 0.536 Pm
0.793 0.585 0.750 Au
0.207 0.415 0.250 Au
```

Formation energy from the elements: -383.5 meV per atom
Total magnetization: 0.0 Bohr magnetons per cell
DOS at the Fermi energy: 10.6 states/eV/cell
Energy above the lowest structure with this stoichiometry: 5 meV per atom

(10)
# Ta2AgCl

Crystalline Ta2AgCl at its relaxed geometry (PBE, Alexandria).

```
Ta2AgCl
1.0
5.724 0.001 0.005
2.625 5.086 -0.005
-3.345 -3.905 2.515
Ta Cl Ag
2 1 1
Direct
0.029 0.029 0.000 Ta
0.471 0.471 0.000 Ta
0.250 0.750 0.500 Cl
0.750 0.250 0.500 Ag
```

Formation energy from raw total energies: 0.444 eV per atom
Total magnetization: 0.0 Bohr magnetons per cell
DOS at the Fermi energy: 3.3 states/eV/cell
Energy above the lowest structure with this stoichiometry: 497 meV per atom

(11)
# Ba2LaGeB

Crystalline Ba2LaGeB at its relaxed geometry (PBE, Alexandria).

```
Ba2LaGeB
1.0
-5.973 -1.671 1.076
1.068 -5.239 -2.204
1.611 -2.077 5.719
Ba Ge B La
2 1 1 1
Direct
0.500 0.000 0.000 Ba
0.000 0.000 0.500 Ba
0.000 0.000 0.000 Ge
0.500 0.500 0.500 B
0.000 0.500 0.000 La
```

Formation energy from the elements: 749.5 meV per atom
Total magnetization: 2.0 Bohr magnetons per cell
DOS at the Fermi energy: 2.1 states/eV/cell

(12)
# Hf8Sn2Hg

Crystalline Hf8Sn2Hg at its relaxed geometry (PBE, Alexandria).

```
Hf8Sn2Hg
1.0
5.809 -0.077 -0.059
-0.037 7.702 2.233
-0.037 4.224 6.816
Hf Sn Hg
8 2 1
Direct
0.365 0.351 0.829 Hf
0.124 0.787 0.787 Hf
0.876 0.213 0.213 Hf
0.365 0.829 0.351 Hf
0.635 0.171 0.649 Hf
0.635 0.649 0.171 Hf
0.890 0.585 0.585 Hf
0.110 0.415 0.415 Hf
0.628 0.741 0.741 Sn
0.372 0.259 0.259 Sn
0.000 0.000 0.000 Hg
```

Formation energy from the elements: -24.6 meV per atom
Total magnetization: 0.0 Bohr magnetons per cell
DOS at the Fermi energy: 10.5 states/eV/cell

For the records above, the corresponding DFT total energy values read -8.6523 -3.8133 -4.8550 -5.8945 -9.0236 -5.7033 -2.8975 -6.4699 -4.6053 -6.6569 -3.2640 -8.0187 eV/atom.